Entry from the Alexandria database: a relaxed structure of Be2ReBr (PBE-GGA).

The structure in CIF format:
```
data_Be2ReBr
_chemical_formula_sum 'Be2 Re1 Br1'
_cell_length_a 4.692
_cell_length_b 4.692
_cell_length_c 4.692
_cell_angle_alpha 133.89
_cell_angle_beta 133.89
_cell_angle_gamma 67.26
_space_group_name_H-M_alt 'P 1'
_space_group_IT_number 1
_space_group_name_Hall 'P 1'
loop_
_atom_site_label
_atom_site_fract_x
_atom_site_fract_y
_atom_site_fract_z
_atom_site_occupancy
Be1 0.250 0.750 0.500 1
Be2 0.750 0.250 0.500 1
Re1 0.000 0.000 0.000 1
Br1 0.500 0.500 0.000 1
```

Energy above the most stable polymorph in this dataset (kcal/mol of atoms): 17.374
E_form (uncorrected) (eV/f.u.): 4.5
Uncorrected energy (eV per atom): -4.258
SG: I4/mmm